VASP calculation (PBE) on CrTcRh6 after structural relaxation.

abc: 5.4058 5.4058 3.8423
angles: 90.00 90.00 90.00
Space group P4/mmm (No. 123)
One atom of each set of equivalent atoms:
Cr 0.0000 0.0000 0.0000
Tc 0.5000 0.5000 0.0000
Rh 0.0000 0.5000 0.0000
Rh 0.2508 0.2508 0.5000

DOS(E_F) = 0.96 states/eV/atom
V = 112.3 Å³/cell
energy relative to the lowest polymorph listed for this composition = 0.000 eV per atom

=====

VASP calculation (PBE) on CaMn2S after structural relaxation.

abc: 4.5471 4.5471 15.7704
angles: 90.00 90.00 90.00
Space group I-42d (No. 122)
One atom of each set of equivalent atoms:
Ca 0.0000 0.0000 0.0000
Mn 0.0104 0.2500 0.6250
S 0.0000 0.0000 0.5000

formation energy without anion corrections = 0.01 eV per atom
DOS(E_F) = 0.65 states/eV/atom
V = 326.1 Å³/cell

=====

VASP calculation (PBE) on CeHfSc2 after structural relaxation.

abc: 7.3391 7.3391 7.3391
angles: 90.00 90.00 90.00
Space group Fm-3m (No. 225)
One atom of each set of equivalent atoms:
Ce 0.0000 0.0000 0.0000
Hf 0.0000 0.0000 0.5000
Sc 0.2500 0.2500 0.2500

DOS(E_F) = 1.65 states/eV/atom
V = 395.3 Å³/cell
energy relative to the lowest polymorph listed for this composition = 0.076 eV per atom

=====

VASP calculation (PBE) on RbInSi after structural relaxation.

abc: 4.5309 6.2930 7.6456
angles: 91.21 107.19 111.02
Space group P-1 (No. 2)
One atom of each set of equivalent atoms:
Rb 0.2210 0.2918 0.1497
In 0.3975 0.1168 0.6759
Si 0.0700 0.6862 0.4560

formation energy without anion corrections = 0.02 eV per atom
DOS(E_F) = 0.37 states/eV/atom
V = 192.4 Å³/cell

=====

VASP calculation (PBE) on PrTlPd2 after structural relaxation.

abc: 3.6231 3.6231 6.7207
angles: 90.00 90.00 90.00
Space group P4/mmm (No. 123)
One atom of each set of equivalent atoms:
Pr 0.0000 0.0000 0.0000
Tl 0.0000 0.0000 0.5000
Pd 0.5000 0.5000 0.2695

DOS(E_F) = 0.59 states/eV/atom
final energy = -4.838 eV/atom
V = 88.2 Å³/cell

=====

VASP calculation (PBE) on K3TaB after structural relaxation.

abc: 6.6977 6.6977 6.6977
angles: 90.00 90.00 90.00
Space group Pm-3m (No. 221)
One atom of each set of equivalent atoms:
K 0.0000 0.0000 0.5000
Ta 0.0000 0.0000 0.0000
B 0.5000 0.5000 0.5000

DOS(E_F) = 1.65 states/eV/atom
V = 300.5 Å³/cell
energy relative to the lowest polymorph listed for this composition = 0.314 eV per atom

=====

VASP calculation (PBE) on AgHAu after structural relaxation.

abc: 11.5818 2.7933 5.4979
angles: 90.00 105.83 90.00
Space group C2/m (No. 12)
One atom of each set of equivalent atoms:
Ag 0.1705 0.0000 0.2828
H 0.1169 0.5000 0.9677
Au 0.0928 0.0000 0.7367

DOS(E_F) = 0.14 states/eV/atom
V = 171.1 Å³/cell
energy relative to the lowest polymorph listed for this composition = 0.031 eV per atom

=====

VASP calculation (PBE) on KTaAg2Te4 after structural relaxation.

abc: 7.0686 8.6075 9.3871
angles: 90.00 90.00 90.00
Space group I222 (No. 23)
One atom of each set of equivalent atoms:
K 0.0000 0.0000 0.0000
Ta 0.0000 0.0000 0.5000
Ag 0.0000 0.5000 0.1538
Te 0.1961 0.1908 0.3352

formation energy without anion corrections = -0.29 eV per atom
V = 571.1 Å³/cell

=====

VASP calculation (PBE) on Be3PdBr after structural relaxation.

abc: 4.2542 4.2542 4.2542
angles: 90.00 90.00 90.00
Space group Pm-3m (No. 221)
One atom of each set of equivalent atoms:
Be 0.0000 0.0000 0.5000
Pd 0.5000 0.5000 0.5000
Br 0.0000 0.0000 0.0000

formation energy without anion corrections = 1.33 eV per atom
DOS(E_F) = 0.70 states/eV/atom
V = 77.0 Å³/cell
energy relative to the lowest polymorph listed for this composition = 0.809 eV per atom

=====

VASP calculation (PBE) on Ca2Zn2Hg after structural relaxation.

abc: 10.0144 5.8667 8.4512
angles: 90.00 103.75 90.00
Space group C2/c (No. 15)
One atom of each set of equivalent atoms:
Ca 0.1494 0.1383 0.1493
Zn 0.1382 0.3607 0.4981
Hg 0.0000 0.3370 0.7500

DOS(E_F) = 0.55 states/eV/atom
V = 482.3 Å³/cell
energy relative to the lowest polymorph listed for this composition = 0.000 eV per atom

=====

VASP calculation (PBE) on Zr4Pd2F after structural relaxation.

abc: 4.4178 4.4178 14.0462
angles: 90.00 90.00 90.00
Space group I4/mmm (No. 139)
One atom of each set of equivalent atoms:
Zr 0.0000 0.0000 0.1905
Zr 0.0000 0.5000 0.0000
Pd 0.0000 0.0000 0.3713
F 0.0000 0.0000 0.0000

formation energy without anion corrections = -0.68 eV per atom
DOS(E_F) = 0.86 states/eV/atom
V = 274.1 Å³/cell

=====

VASP calculation (PBE) on ZrSnPS2 after structural relaxation.

abc: 4.8715 4.8715 4.9573
angles: 90.00 90.00 90.00
Space group P4/mmm (No. 123)
One atom of each set of equivalent atoms:
Zr 0.0000 0.0000 0.0000
Sn 0.5000 0.5000 0.5000
P 0.5000 0.5000 0.0000
S 0.0000 0.5000 0.5000

formation energy without anion corrections = 0.42 eV per atom
DOS(E_F) = 0.67 states/eV/atom
V = 117.6 Å³/cell
energy relative to the lowest polymorph listed for this composition = 0.778 eV per atom

=====

VASP calculation (PBE) on NaC2Cl after structural relaxation.

abc: 5.6789 5.6789 6.7263
angles: 90.00 90.00 90.00
Space group I-42d (No. 122)
One atom of each set of equivalent atoms:
Na 0.0000 0.0000 0.0000
C 0.1593 0.2500 0.6250
Cl 0.0000 0.0000 0.5000

formation energy without anion corrections = 2.32 eV per atom
DOS(E_F) = 0.04 states/eV/atom
V = 216.9 Å³/cell
energy relative to the lowest polymorph listed for this composition = 0.000 eV per atom

=====

VASP calculation (PBE) on NaMgIn14 after structural relaxation.

abc: 9.9325 9.9436 8.5969
angles: 90.00 90.00 90.00
Space group Cmmm (No. 65)
One atom of each set of equivalent atoms:
Na 0.0000 0.0000 0.0000
Mg 0.0000 0.5000 0.0000
In 0.0000 0.0000 0.5000
In 0.0000 0.2537 0.2489
In 0.0000 0.5000 0.5000
In 0.2463 0.5000 0.2488
In 0.2500 0.2500 0.0000
In 0.2500 0.2500 0.5000

DOS(E_F) = 0.41 states/eV/atom
final energy = -2.594 eV/atom
V = 849.1 Å³/cell

=====

VASP calculation (PBE) on Al6Cr7 after structural relaxation.

abc: 4.8580 4.8580 25.7209
angles: 90.00 90.00 120.00
Space group R-3m (No. 166, hexagonal axes)
One atom of each set of equivalent atoms:
Al 0.0000 0.0000 0.0500
Al 0.0000 0.0000 0.1514
Al 0.0000 0.0000 0.3338
Cr 0.0000 0.0000 0.5000
Cr 0.0061 0.5031 0.9095

DOS(E_F) = 0.94 states/eV/atom
final energy = -6.915 eV/atom
V = 525.7 Å³/cell

=====

VASP calculation (PBE) on CsRbNaGe2 after structural relaxation.

abc: 6.1768 6.1768 6.2061
angles: 90.00 90.00 90.00
Space group P4/mmm (No. 123)
One atom of each set of equivalent atoms:
Cs 0.0000 0.0000 0.0000
Rb 0.5000 0.5000 0.5000
Na 0.0000 0.0000 0.5000
Ge 0.0000 0.5000 0.0000

DOS(E_F) = 1.12 states/eV/atom
final energy = -1.613 eV/atom
V = 236.8 Å³/cell

=====

VASP calculation (PBE) on Tm3Mg2Ag2Pb4 after structural relaxation.

abc: 4.7639 4.7639 14.7610
angles: 90.00 90.00 120.00
Space group P-3m1 (No. 164)
One atom of each set of equivalent atoms:
Tm 0.0000 0.0000 0.0000
Tm 0.0000 0.0000 0.2594
Mg 0.3333 0.6667 0.5711
Ag 0.3333 0.6667 0.1584
Pb 0.3333 0.6667 0.3643
Pb 0.3333 0.6667 0.8916

DOS(E_F) = 0.18 states/eV/atom
final energy = -3.636 eV/atom
V = 290.1 Å³/cell

=====

VASP calculation (PBE) on Li3Zn2TcO6 after structural relaxation.

abc: 5.2770 9.1055 5.1955
angles: 90.00 110.32 90.00
Space group C2/m (No. 12)
One atom of each set of equivalent atoms:
Li 0.0000 0.0000 0.0000
Li 0.0000 0.3305 0.0000
Zn 0.0000 0.1674 0.5000
Tc 0.0000 0.5000 0.5000
O 0.2345 0.5000 0.2716
O 0.2350 0.3432 0.7366

formation energy without anion corrections = -1.59 eV per atom
DOS(E_F) = 0.40 states/eV/atom
V = 234.1 Å³/cell

=====

VASP calculation (PBE) on K2ZnCuCl after structural relaxation.

abc: 6.0991 6.0991 4.7846
angles: 90.00 90.00 90.00
Space group P4/mmm (No. 123)
One atom of each set of equivalent atoms:
K 0.0000 0.5000 0.0000
Zn 0.0000 0.0000 0.5000
Cu 0.5000 0.5000 0.5000
Cl 0.5000 0.5000 0.0000

formation energy without anion corrections = -0.15 eV per atom
DOS(E_F) = 0.57 states/eV/atom
V = 178.0 Å³/cell

=====

VASP calculation (PBE) on NaSrBF6 after structural relaxation.

abc: 5.2658 5.2658 4.8677
angles: 90.00 90.00 120.00
Space group P312 (No. 149)
One atom of each set of equivalent atoms:
Na 0.0000 0.0000 0.0000
Sr 0.6667 0.3333 0.5000
B 0.3333 0.6667 0.0000
F 0.0768 0.4129 0.1963

formation energy without anion corrections = -2.88 eV per atom
DOS(E_F) = 0.00 states/eV/atom
V = 116.9 Å³/cell